# 1
LiNbAgTe2S: optimized geometry, PBE.

## Properties
E   -4.588 eV/atom

Cell lengths 7.579, 7.579, 10.316 Å; angles 90.00, 90.00, 151.04 degrees
Atoms (fractional coordinates):
Li 0.168 0.832 0.750
Li 0.832 0.168 0.250
Nb 0.500 0.500 0.000
Nb 0.500 0.500 0.500
Ag 0.052 0.948 0.250
Ag 0.948 0.052 0.750
Te 0.147 0.853 0.027
Te 0.147 0.853 0.473
Te 0.853 0.147 0.527
Te 0.853 0.147 0.973
S 0.438 0.562 0.250
S 0.562 0.438 0.750

***

# 2
Tl2Cd: optimized geometry, PBE.

## Properties
E   -1.838 eV/atom

Cell lengths 6.082, 6.082, 16.319 Å; angles 90.00, 90.00, 120.00 degrees
Atoms (fractional coordinates):
Tl 0.000 0.500 0.067
Tl 0.000 0.500 0.267
Tl 0.173 0.346 0.500
Tl 0.173 0.827 0.833
Tl 0.346 0.173 0.167
Tl 0.500 0.000 0.400
Tl 0.500 0.000 0.600
Tl 0.500 0.500 0.733
Tl 0.500 0.500 0.933
Tl 0.654 0.827 0.167
Tl 0.827 0.173 0.833
Tl 0.827 0.654 0.500
Cd 0.000 0.000 0.000
Cd 0.000 0.000 0.333
Cd 0.000 0.000 0.667
Cd 0.000 0.500 0.667
Cd 0.500 0.000 0.000
Cd 0.500 0.500 0.333

***

# 3
HfZrFeSi2: optimized geometry, PBE.

## Properties
E   -8.370 eV/atom

Cell lengths 5.289, 5.289, 9.433 Å; angles 116.28, 116.28, 43.22 degrees
Atoms (fractional coordinates):
Hf 0.001 0.001 0.328
Hf 0.999 0.999 0.672
Zr 0.187 0.187 0.101
Zr 0.813 0.813 0.899
Fe 0.276 0.276 0.624
Fe 0.724 0.724 0.376
Si 0.354 0.354 0.428
Si 0.488 0.488 0.126
Si 0.512 0.512 0.874
Si 0.646 0.646 0.572

***

# 4
CdAsPdO: optimized geometry, PBE.

## Properties
E   -3.885 eV/atom

Cell lengths 4.311, 4.311, 8.707 Å; angles 90.00, 90.00, 90.00 degrees
Atoms (fractional coordinates):
Cd 0.250 0.750 0.000
Cd 0.750 0.250 0.000
As 0.250 0.250 0.188
As 0.750 0.750 0.812
Pd 0.250 0.250 0.464
Pd 0.750 0.750 0.536
O 0.250 0.750 0.500
O 0.750 0.250 0.500

***

# 5
Li3PrBi2: optimized geometry, PBE.

## Properties
E   -3.809 eV/atom

Cell lengths 4.686, 4.686, 7.432 Å; angles 90.00, 90.00, 120.00 degrees
Atoms (fractional coordinates):
Li 0.000 0.000 0.000
Li 0.333 0.667 0.850
Li 0.667 0.333 0.150
Pr 0.000 0.000 0.500
Bi 0.333 0.667 0.243
Bi 0.667 0.333 0.757

***

# 6
Na4In2HgAu: optimized geometry, PBE.

## Properties
E   -1.995 eV/atom

Cell lengths 5.045, 5.045, 7.179 Å; angles 90.00, 90.00, 90.00 degrees
Atoms (fractional coordinates):
Na 0.000 0.000 0.000
Na 0.000 0.500 0.242
Na 0.500 0.000 0.758
Na 0.500 0.500 0.500
In 0.000 0.500 0.761
In 0.500 0.000 0.239
Hg 0.000 0.000 0.500
Au 0.500 0.500 0.000

***

# 7
TbGdGa: optimized geometry, PBE.

## Properties
E   -4.352 eV/atom

Cell lengths 4.982, 4.982, 4.982 Å; angles 60.00, 60.00, 60.00 degrees
Atoms (fractional coordinates):
Tb 0.000 0.000 0.000
Gd 0.500 0.500 0.500
Ga 0.750 0.750 0.750

***

# 8
CsAgPbS3: optimized geometry, PBE.

## Properties
E   -3.661 eV/atom

Cell lengths 7.811, 7.811, 11.167 Å; angles 90.00, 90.00, 148.86 degrees
Atoms (fractional coordinates):
Cs 0.226 0.774 0.750
Cs 0.774 0.226 0.250
Ag 0.067 0.933 0.250
Ag 0.933 0.067 0.750
Pb 0.500 0.500 0.000
Pb 0.500 0.500 0.500
S 0.122 0.878 0.042
S 0.122 0.878 0.458
S 0.469 0.531 0.250
S 0.531 0.469 0.750
S 0.878 0.122 0.542
S 0.878 0.122 0.958

***

# 9
Tl2SnPdBr6: optimized geometry, PBE.

## Properties
E   -3.014 eV/atom

Cell lengths 7.689, 7.689, 7.689 Å; angles 60.00, 60.00, 60.00 degrees
Atoms (fractional coordinates):
Tl 0.250 0.250 0.250
Tl 0.750 0.750 0.750
Sn 0.000 0.000 0.000
Pd 0.500 0.500 0.500
Br 0.257 0.257 0.743
Br 0.257 0.743 0.257
Br 0.257 0.743 0.743
Br 0.743 0.257 0.257
Br 0.743 0.257 0.743
Br 0.743 0.743 0.257

***

# 10
PrN2: optimized geometry, PBE.

## Properties
E   -6.456 eV/atom

Cell lengths 5.409, 5.409, 4.003 Å; angles 90.00, 90.00, 90.00 degrees
Atoms (fractional coordinates):
Pr 0.000 0.000 0.000
Pr 0.500 0.500 0.500
N 0.184 0.184 0.500
N 0.316 0.684 0.000
N 0.684 0.316 0.000
N 0.816 0.816 0.500

***

# 11
NaSmIn: optimized geometry, PBE.

## Properties
E   -2.708 eV/atom

Cell lengths 5.052, 5.052, 5.052 Å; angles 60.00, 60.00, 60.00 degrees
Atoms (fractional coordinates):
Na 0.000 0.000 0.000
Sm 0.250 0.250 0.250
In 0.750 0.750 0.750

***

# 12
NdCo2: optimized geometry, PBE.

## Properties
Calculated formation energy   -0.03 eV per atom
E   -6.353 eV/atom

Cell lengths 5.146, 5.146, 5.146 Å; angles 120.13, 120.02, 89.86 degrees
Atoms (fractional coordinates):
Nd 0.374 0.124 0.250
Nd 0.626 0.876 0.750
Co 0.000 0.000 0.500
Co 0.000 0.500 0.000
Co 0.000 0.500 0.500
Co 0.500 0.500 0.000

***

# 13
CoTe2Pd: optimized geometry, PBE.

## Properties
E   -4.029 eV/atom

Cell lengths 4.817, 4.817, 4.817 Å; angles 60.00, 60.00, 60.00 degrees
Atoms (fractional coordinates):
Co 0.000 0.000 0.000
Te 0.250 0.250 0.250
Te 0.500 0.500 0.500
Pd 0.750 0.750 0.750

***

# 14
ErLu2Al7Cu2: optimized geometry, PBE.

## Properties
E   -4.401 eV/atom

Cell lengths 8.977, 8.977, 8.977 Å; angles 35.21, 35.21, 35.21 degrees
Atoms (fractional coordinates):
Er 0.000 0.000 0.000
Lu 0.142 0.142 0.142
Lu 0.858 0.858 0.858
Al 0.073 0.582 0.582
Al 0.418 0.418 0.927
Al 0.418 0.927 0.418
Al 0.500 0.500 0.500
Al 0.582 0.073 0.582
Al 0.582 0.582 0.073
Al 0.927 0.418 0.418
Cu 0.335 0.335 0.335
Cu 0.665 0.665 0.665

***

# 15
YGaCoHg: optimized geometry, PBE.

## Properties
E   -4.321 eV/atom

Cell lengths 4.752, 4.752, 4.752 Å; angles 60.00, 60.00, 60.00 degrees
Atoms (fractional coordinates):
Y 0.000 0.000 0.000
Ga 0.250 0.250 0.250
Co 0.500 0.500 0.500
Hg 0.750 0.750 0.750

***

# 16
HfInFeTc: optimized geometry, PBE.

## Properties
E   -7.643 eV/atom

Cell lengths 4.606, 4.606, 4.606 Å; angles 60.00, 60.00, 60.00 degrees
Atoms (fractional coordinates):
Hf 0.000 0.000 0.000
In 0.250 0.250 0.250
Fe 0.500 0.500 0.500
Tc 0.750 0.750 0.750

***

# 17
Ho3Mg3CdAgHg: optimized geometry, PBE.

## Properties
E   -2.799 eV/atom

Cell lengths 7.769, 7.769, 4.177 Å; angles 90.00, 90.00, 120.00 degrees
Atoms (fractional coordinates):
Ho 0.077 0.338 0.000
Ho 0.261 0.923 0.000
Ho 0.662 0.739 0.000
Mg 0.421 0.333 0.500
Mg 0.667 0.089 0.500
Mg 0.911 0.579 0.500
Cd 0.000 0.000 0.500
Ag 0.667 0.333 0.000
Hg 0.333 0.667 0.500

***

# 18
Re2Hg2O5: optimized geometry, PBE.

## Properties
E   -6.219 eV/atom

Cell lengths 3.783, 3.783, 9.635 Å; angles 90.00, 90.00, 90.00 degrees
Atoms (fractional coordinates):
Re 0.000 0.000 0.222
Re 0.000 0.000 0.778
Hg 0.500 0.500 0.000
Hg 0.500 0.500 0.500
O 0.000 0.000 0.000
O 0.000 0.500 0.230
O 0.000 0.500 0.770
O 0.500 0.000 0.230
O 0.500 0.000 0.770

***

# 19
Hf2GaCo: optimized geometry, PBE.

## Properties
E   -7.435 eV/atom

Cell lengths 4.577, 4.577, 4.577 Å; angles 60.00, 60.00, 60.00 degrees
Atoms (fractional coordinates):
Hf 0.000 0.000 0.000
Hf 0.250 0.250 0.250
Ga 0.500 0.500 0.500
Co 0.750 0.750 0.750

***

# 20
ScBeZnIn: optimized geometry, PBE.

## Properties
E   -3.432 eV/atom

Cell lengths 4.604, 4.604, 4.604 Å; angles 60.00, 60.00, 60.00 degrees
Atoms (fractional coordinates):
Sc 0.000 0.000 0.000
Be 0.250 0.250 0.250
Zn 0.500 0.500 0.500
In 0.750 0.750 0.750

***

# 21
ErNbFe: optimized geometry, PBE.

## Properties
Calculated formation energy   0.35 eV per atom
E   -7.302 eV/atom

Cell lengths 4.381, 4.381, 4.381 Å; angles 60.00, 60.00, 60.00 degrees
Atoms (fractional coordinates):
Er 0.000 0.000 0.000
Nb 0.500 0.500 0.500
Fe 0.250 0.250 0.250

***

# 22
ZrUGe: optimized geometry, PBE.

## Properties
E   -7.268 eV/atom

Cell lengths 4.667, 4.667, 4.667 Å; angles 60.00, 60.00, 60.00 degrees
Atoms (fractional coordinates):
Zr 0.000 0.000 0.000
U 0.250 0.250 0.250
Ge 0.500 0.500 0.500

***

# 23
Rb2PrTlBr6: optimized geometry, PBE.

## Properties
E   -3.503 eV/atom

Cell lengths 8.560, 8.560, 8.560 Å; angles 60.00, 60.00, 60.00 degrees
Atoms (fractional coordinates):
Rb 0.250 0.250 0.250
Rb 0.750 0.750 0.750
Pr 0.000 0.000 0.000
Tl 0.500 0.500 0.500
Br 0.239 0.239 0.761
Br 0.239 0.761 0.239
Br 0.239 0.761 0.761
Br 0.761 0.239 0.239
Br 0.761 0.239 0.761
Br 0.761 0.761 0.239

***

# 24
Zr3TlN5: optimized geometry, PBE.

## Properties
E   -7.763 eV/atom

Cell lengths 5.678, 5.678, 4.545 Å; angles 90.00, 90.00, 120.00 degrees
Atoms (fractional coordinates):
Zr 0.000 0.500 0.000
Zr 0.500 0.000 0.000
Zr 0.500 0.500 0.000
Tl 0.000 0.000 0.500
N 0.000 0.000 0.000
N 0.333 0.667 0.348
N 0.333 0.667 0.652
N 0.667 0.333 0.348
N 0.667 0.333 0.652

***

# 25
LiTe4OsAu3: optimized geometry, PBE.

## Properties
E   -3.794 eV/atom

Cell lengths 6.387, 6.387, 6.387 Å; angles 90.00, 90.00, 90.00 degrees
Atoms (fractional coordinates):
Li 0.000 0.000 0.000
Te 0.255 0.255 0.255
Te 0.255 0.745 0.745
Te 0.745 0.255 0.745
Te 0.745 0.745 0.255
Os 0.500 0.500 0.500
Au 0.000 0.500 0.500
Au 0.500 0.000 0.500
Au 0.500 0.500 0.000